1.
FeHSe | PBE-GGA | optimized geometry

a b c (Å): 3.0466 4.9076 6.3427
angles (deg): 87.10 76.45 71.91
Last column: nearest neighbours and their distance in Å.
Fractional coordinates of all 6 atoms:
Fe: 0.0130 0.8801 0.1675  2 H 1.64-1.65
Fe: 0.3098 0.3425 0.1087  3 H 1.67-1.84
H: 0.0887 0.5860 0.3120  2 Fe 1.65-1.67
H: 0.9487 0.1595 0.0120  1 Fe 1.64
Se: 0.7609 0.6413 0.9034  1 H 2.36, 4 Fe 2.44-2.48
Se: 0.2965 0.0616 0.4252  3 Fe 2.34-2.38, 1 H 2.56

## Properties
SG: P1, No. 1
E in Ry/atom: -0.378
Crystal system: triclinic

=====

2.
FeHSe | PBE-GGA | optimized geometry

a b c (Å): 4.4871 2.9174 6.5892
angles (deg): 90.00 106.34 90.00
Last column: nearest neighbours and their distance in Å.
Fractional coordinates of all 6 atoms:
Fe: 0.2451 0.2500 0.9781  3 H 1.67-1.82
Fe: 0.7549 0.7500 0.0219  3 H 1.67-1.82
H: 0.8586 0.2500 0.8909  3 Fe 1.67-1.82
H: 0.1414 0.7500 0.1091  3 Fe 1.67-1.82
Se: 0.6753 0.2500 0.2741  3 Fe 2.31-2.33
Se: 0.3247 0.7500 0.7259  3 Fe 2.31-2.33

## Properties
SG: P2_1/m, No. 11
E in Ry/atom: -0.381
Crystal system: monoclinic

=====

3.
Fe3HSe | PBE-GGA | optimized geometry

a b c (Å): 4.5084 4.5084 4.5084
angles (deg): 90.00 90.00 90.00
Last column: nearest neighbours and their distance in Å.
Fractional coordinates of all 5 atoms:
H: 0.5000 0.5000 0.5000  12 Fe 3.19
Fe: 0.0000 0.5000 0.0000  2 Se 2.25
Fe: 0.0000 0.0000 0.5000  2 Se 2.25
Fe: 0.5000 0.0000 0.0000  2 Se 2.25
Se: 0.0000 0.0000 0.0000  6 Fe 2.25

## Properties
SG: Pm-3m, No. 221
Crystal system: cubic
Offset from the most stable computed form in eV/f.u.: 4.73

=====

4.
FeHSe | PBE-GGA | optimized geometry

a b c (Å): 6.5802 5.0682 5.2510
angles (deg): 90.00 113.41 90.00
Last column: nearest neighbours and their distance in Å.
Fractional coordinates of all 12 atoms:
Fe: 0.8253 0.7417 0.4667  2 H 1.63-1.78
Fe: 0.8253 0.2583 0.4667  2 H 1.63-1.78
Fe: 0.8253 0.2417 0.9667  2 H 1.63-1.78
Fe: 0.8253 0.7583 0.9667  2 H 1.63-1.78
H: 0.9847 0.0000 0.1380  1 H 1.57, 2 Fe 1.63
H: 0.9847 0.5000 0.6380  1 H 1.57, 2 Fe 1.63
H: 0.7801 0.0000 0.2202  1 H 1.57
H: 0.7801 0.5000 0.7202  1 H 1.57
Se: 0.0894 0.0000 0.8028  1 H 2.13, 2 Fe 2.33
Se: 0.0894 0.5000 0.3028  1 H 2.13, 2 Fe 2.33
Se: 0.5666 0.0000 0.5764  4 Fe 2.39-2.41
Se: 0.5666 0.5000 0.0764  4 Fe 2.39-2.41

## Properties
SG: Cm, No. 8
E in Ry/atom: -0.378
Crystal system: monoclinic

=====

5.
FeHSe | PBE-GGA | optimized geometry

a b c (Å): 3.0615 4.1676 6.1661
angles (deg): 87.63 75.61 68.44
Last column: nearest neighbours and their distance in Å.
Fractional coordinates of all 6 atoms:
H: 0.5399 0.5922 0.7540  2 Fe 1.61-1.62
H: 0.7368 0.0851 0.8670  2 Fe 1.64
Fe: 0.2862 0.9463 0.9069  3 H 1.61-1.64
Fe: 0.6698 0.6027 0.4837  1 H 1.62
Se: 0.3442 0.1877 0.5500  4 Fe 2.27-2.38, 4 H 2.46-2.48
Se: 0.8917 0.5489 0.0932  4 Fe 2.33-2.53, 3 H 2.54-2.55

## Properties
SG: Cm, No. 8
E in Ry/atom: -0.372
Crystal system: monoclinic

=====

6.
FeHSe | PBE-GGA | optimized geometry

a b c (Å): 4.5690 2.8196 12.8932
angles (deg): 90.00 96.08 90.00
Last column: nearest neighbours and their distance in Å.
Fractional coordinates of all 12 atoms:
Fe: 0.5000 0.5000 0.5000  2 H 1.70
Fe: 0.5000 0.0000 0.0000  2 H 1.70
Fe: 0.0000 0.5000 0.0000  4 H 1.77
Fe: 0.0000 0.0000 0.5000  4 H 1.77
H: 0.8158 0.0000 0.9406  3 Fe 1.70-1.77
H: 0.1842 0.0000 0.0594  3 Fe 1.70-1.77
H: 0.8158 0.5000 0.4406  3 Fe 1.70-1.77
H: 0.1842 0.5000 0.5594  3 Fe 1.70-1.77
Se: 0.7138 0.0000 0.6394  3 Fe 2.33-2.41
Se: 0.2862 0.0000 0.3606  3 Fe 2.33-2.41
Se: 0.7138 0.5000 0.1394  3 Fe 2.33-2.41
Se: 0.2862 0.5000 0.8606  3 Fe 2.33-2.41

## Properties
SG: C2/m, No. 12
E in Ry/atom: -0.380
Crystal system: monoclinic

=====

7.
Fe2HSe | PBE-GGA | optimized geometry

a b c (Å): 3.8503 3.8503 3.8503
angles (deg): 60.00 60.00 60.00
Last column: nearest neighbours and their distance in Å.
Fractional coordinates of all 4 atoms:
H: 0.0000 0.0000 0.0000  8 Fe 2.36
Fe: 0.2500 0.2500 0.2500  4 H 2.36, 4 Se 2.36
Fe: 0.7500 0.7500 0.7500  4 H 2.36, 4 Se 2.36
Se: 0.5000 0.5000 0.5000  8 Fe 2.36

## Properties
SG: Fm-3m, No. 225
Crystal system: cubic
Offset from the most stable computed form in eV/f.u.: 1.24

=====

8.
Fe3HSe | PBE-GGA | optimized geometry

a b c (Å): 3.6173 3.6173 3.6173
angles (deg): 90.00 90.00 90.00
Last column: nearest neighbours and their distance in Å.
Fractional coordinates of all 5 atoms:
H: 0.0000 0.0000 0.0000  6 Fe 1.81
Fe: 0.0000 0.5000 0.0000  2 H 1.81
Fe: 0.0000 0.0000 0.5000  2 H 1.81
Fe: 0.5000 0.0000 0.0000  2 H 1.81
Se: 0.5000 0.5000 0.5000  12 Fe 2.56

## Properties
SG: Pm-3m, No. 221
Crystal system: cubic
Offset from the most stable computed form in eV/f.u.: 0.00

=====

9.
FeHSe | PBE-GGA | optimized geometry

a b c (Å): 6.0443 3.0947 7.7644
angles (deg): 90.00 112.68 90.00
Last column: nearest neighbours and their distance in Å.
Fractional coordinates of all 12 atoms:
Fe: 0.6563 0.0000 0.5536  3 H 1.63-1.70
Fe: 0.6563 0.5000 0.0536  3 H 1.63-1.70
Fe: 0.1326 0.0000 0.5584  1 H 1.63
Fe: 0.1326 0.5000 0.0584  1 H 1.63
H: 0.9473 0.0000 0.6645  2 Fe 1.63
H: 0.9473 0.5000 0.1645  2 Fe 1.63
H: 0.5739 0.0000 0.0978  2 Fe 1.70
H: 0.5739 0.5000 0.5978  2 Fe 1.70
Se: 0.2811 0.0000 0.3112  4 Fe 2.32-2.41, 2 H 2.45
Se: 0.2811 0.5000 0.8112  4 Fe 2.32-2.41, 2 H 2.45
Se: 0.8089 0.0000 0.8858  1 H 2.18, 3 Fe 2.38-2.42
Se: 0.8089 0.5000 0.3858  1 H 2.18, 3 Fe 2.38-2.42

## Properties
SG: Cm, No. 8
E in Ry/atom: -0.373
Crystal system: monoclinic

=====

10.
FeTe2HSe | PBE-GGA | optimized geometry

a b c (Å): 5.2463 4.3449 5.2463
angles (deg): 90.00 90.00 90.00
Last column: nearest neighbours and their distance in Å.
Fractional coordinates of all 5 atoms:
H: 0.5000 0.5000 0.5000  8 Te 3.41, 4 Se 3.71
Te: 0.0000 0.0000 0.5000  2 Fe 2.62
Te: 0.5000 0.0000 0.0000  2 Fe 2.62
Fe: 0.0000 0.0000 0.0000  2 Se 2.17
Se: 0.0000 0.5000 0.0000  2 Fe 2.17

## Properties
SG: P4/mmm, No. 123
E in Ry/atom: -0.258
Crystal system: tetragonal

=====

11.
Ti2FeHSe | PBE-GGA | optimized geometry

a b c (Å): 4.5099 4.3307 4.5099
angles (deg): 90.00 90.00 90.00
Last column: nearest neighbours and their distance in Å.
Fractional coordinates of all 5 atoms:
H: 0.5000 0.5000 0.5000  8 Ti 3.13, 4 Se 3.19
Fe: 0.0000 0.0000 0.0000  2 Se 2.17, 4 Ti 2.25
Se: 0.0000 0.5000 0.0000  2 Fe 2.17
Ti: 0.0000 0.0000 0.5000  2 Fe 2.25
Ti: 0.5000 0.0000 0.0000  2 Fe 2.25

## Properties
SG: P4/mmm, No. 123
E in Ry/atom: -0.413
Crystal system: tetragonal

=====

12.
ZrFeHSe2 | PBE-GGA | optimized geometry

a b c (Å): 4.5977 3.3502 4.5977
angles (deg): 90.00 90.00 90.00
Last column: nearest neighbours and their distance in Å.
Fractional coordinates of all 5 atoms:
H: 0.0000 0.0000 0.0000  2 Fe 1.68
Se: 0.0000 0.0000 0.5000  2 H 2.30
Se: 0.5000 0.0000 0.0000  2 H 2.30
Zr: 0.5000 0.5000 0.5000  8 Se 2.84
Fe: 0.0000 0.5000 0.0000  2 H 1.68

## Properties
SG: P4/mmm, No. 123
E in Ry/atom: -0.417
Crystal system: tetragonal